Run 1
Crystalline GdErAl2 at its relaxed geometry, computed with PBE.

Summary:
- mass density (g/cm³) = 6.74

Lattice parameters (Å, degrees): 7.1291 10.2494 5.1053 90.00 90.00 90.00
Space group Cmcm (No. 63)
Asymmetric unit:
Gd 0.0000 0.1295 0.2500
Er 0.0000 0.3643 0.7500
Al 0.2408 0.3857 0.2500

---

Run 2
Crystalline GdErAl2 at its relaxed geometry, computed with PBE.

Summary:
- mass density (g/cm³) = 6.61

Lattice parameters (Å, degrees): 5.0141 6.6753 11.3621 90.00 90.00 90.00
Space group Amm2 (No. 38)
Asymmetric unit:
Gd 0.0000 0.0000 0.0000
Gd 0.5000 0.0000 0.3302
Er 0.0000 0.2321 0.7423
Al 0.0000 0.0000 0.5005
Al 0.5000 0.0000 0.8207
Al 0.5000 0.2094 0.5852

---

Run 3
Crystalline GdErAl2 at its relaxed geometry, computed with PBE.

Summary:
- mass density (g/cm³) = 6.63

Lattice parameters (Å, degrees): 5.0448 12.1288 6.2012 90.00 90.00 90.00
Space group Ama2 (No. 40)
Asymmetric unit:
Gd 0.2500 0.1959 0.0000
Er 0.2500 0.4239 0.2563
Al 0.2500 0.1493 0.4968
Al 0.2500 0.4412 0.7625

---

Which one is most stable, and which one is least stable? run 1 is the most stable of them, while run 3 is the least stable.

---

Run 1
Crystalline Gd2Er3Al3 at its relaxed geometry, computed with PBE.

Summary:
- mass density (g/cm³) = 7.15

Lattice parameters (Å, degrees): 6.8689 6.8689 5.1003 90.00 90.00 120.00
Space group P-6m2 (No. 187)
Asymmetric unit:
Gd 0.0000 0.0000 0.0000
Gd 0.3333 0.6667 0.5000
Er 0.5080 0.0161 0.0000
Al 0.3823 0.1912 0.5000

---

Run 2
Crystalline Gd2Er3Al3 at its relaxed geometry, computed with PBE.

Summary:
- mass density (g/cm³) = 7.17

Lattice parameters (Å, degrees): 5.3695 7.3385 10.5507 90.00 90.00 90.00
Space group Amm2 (No. 38)
Asymmetric unit:
Gd 0.0000 0.0000 0.0000
Gd 0.5000 0.0000 0.3938
Er 0.0000 0.0000 0.5936
Er 0.5000 0.2369 0.1388
Al 0.0000 0.1812 0.2923
Al 0.5000 0.0000 0.8617

---

Which one is most stable, and which one is least stable? run 1 is the most stable of them, while run 2 is the least stable.

---

Run 1
Crystalline Ho2Er3Al3 at its relaxed geometry, computed with PBE.

Summary:
- mass density (g/cm³) = 7.52

Lattice parameters (Å, degrees): 5.2866 6.7441 11.3033 90.00 90.00 90.00
Space group Amm2 (No. 38)
Asymmetric unit:
Ho 0.0000 0.0000 0.0000
Ho 0.5000 0.0000 0.3189
Er 0.0000 0.2368 0.7340
Er 0.5000 0.0000 0.8248
Al 0.0000 0.0000 0.4859
Al 0.5000 0.2377 0.5768

---

Run 2
Crystalline Ho2Er3Al3 at its relaxed geometry, computed with PBE.

Summary:
- mass density (g/cm³) = 7.53

Lattice parameters (Å, degrees): 6.4618 4.9243 6.4654 90.00 102.03 90.00
Space group Pm (No. 6)
Asymmetric unit:
Ho 0.0000 0.0000 0.0000
Ho 0.2942 0.5000 0.7909
Er 0.0039 0.0000 0.5000
Er 0.5098 0.0000 0.5182
Er 0.7204 0.5000 0.2170
Al 0.2265 0.5000 0.2860
Al 0.5016 0.0000 0.0187
Al 0.7891 0.5000 0.7188

---

Run 3
Crystalline Ho2Er3Al3 at its relaxed geometry, computed with PBE.

Summary:
- mass density (g/cm³) = 7.39

Lattice parameters (Å, degrees): 6.8079 6.8079 5.1088 90.00 90.00 120.00
Space group P-6m2 (No. 187)
Asymmetric unit:
Ho 0.0000 0.0000 0.0000
Ho 0.3333 0.6667 0.5000
Er 0.5072 0.0143 0.0000
Al 0.3762 0.1881 0.5000

---

Which one is most stable, and which one is least stable? run 2 is the most stable of them, while run 1 is the least stable.

---

Run 1
Crystalline HoErAl at its relaxed geometry, computed with PBE.

Summary:
- mass density (g/cm³) = 6.56

Lattice parameters (Å, degrees): 7.1365 7.1365 7.1365 90.00 90.00 90.00
Space group F-43m (No. 216)
Asymmetric unit:
Ho 0.0000 0.0000 0.0000
Er 0.2500 0.2500 0.2500
Al 0.2500 0.2500 0.7500

---

Run 2
Crystalline HoErAl at its relaxed geometry, computed with PBE.

Summary:
- mass density (g/cm³) = 7.71

Lattice parameters (Å, degrees): 6.5127 5.0598 9.3896 90.00 90.00 90.00
Space group Pnma (No. 62)
Asymmetric unit:
Ho 0.1873 0.2500 0.0727
Er 0.0274 0.2500 0.7101
Al 0.2079 0.2500 0.3970

---

Which one is most stable, and which one is least stable? run 2 is the most stable of them, while run 1 is the least stable.

---

Run 1
Crystalline ErAlNO at its relaxed geometry, computed with PBE.

Summary:
- mass density (g/cm³) = 6.32

Lattice parameters (Å, degrees): 3.7772 3.7772 8.2641 90.00 90.00 90.00
Space group P4/nmm (No. 129, origin choice 2)
Asymmetric unit:
Er 0.2500 0.2500 0.1342
Al 0.2500 0.7500 0.5000
N 0.2500 0.2500 0.4335
O 0.2500 0.7500 0.0000

---

Run 2
Crystalline ErAlNO at its relaxed geometry, computed with PBE.

Summary:
- mass density (g/cm³) = 7.05

Lattice parameters (Å, degrees): 3.3932 6.1831 5.0372 90.00 90.00 90.00
Space group Pmc2_1 (No. 26)
Asymmetric unit:
Er 0.0000 0.1648 0.0000
Al 0.5000 0.3232 0.5245
N 0.0000 0.1940 0.4795
O 0.5000 0.4105 0.8740

---

Run 3
Crystalline ErAlNO at its relaxed geometry, computed with PBE.

Summary:
- mass density (g/cm³) = 7.37

Lattice parameters (Å, degrees): 4.4869 4.4869 5.0213 90.00 90.00 90.00
Space group P4/nmm (No. 129, origin choice 2)
Asymmetric unit:
Er 0.2500 0.7500 0.0000
Al 0.2500 0.2500 0.4708
N 0.2500 0.2500 0.1025
O 0.2500 0.7500 0.5000

---

Which one is most stable, and which one is least stable? run 2 is the most stable of them, while run 3 is the least stable.

---

Run 1
Crystalline ErAlNO at its relaxed geometry, computed with PBE.

Summary:
- mass density (g/cm³) = 6.87

Lattice parameters (Å, degrees): 3.3506 6.2589 5.1699 90.00 90.00 90.00
Space group Pmc2_1 (No. 26)
Asymmetric unit:
Er 0.0000 0.1631 0.0000
Al 0.5000 0.3518 0.5353
N 0.5000 0.3789 0.8936
O 0.0000 0.2205 0.4544

---

Run 2
Crystalline ErAlNO at its relaxed geometry, computed with PBE.

Summary:
- mass density (g/cm³) = 7.62

Lattice parameters (Å, degrees): 5.0556 7.8819 4.9044 90.00 90.00 90.00
Space group Pca2_1 (No. 29)
Asymmetric unit:
Er 0.0100 0.1333 0.0000
Al 0.0493 0.6168 0.9656
N 0.0101 0.8437 0.0011
O 0.1234 0.5628 0.6066

---

Which one is most stable, and which one is least stable? run 2 is the most stable of them, while run 1 is the least stable.